[1]
## La2TbTh3Se6 (PBE)

Data for La2TbTh3Se6 after structural relaxation.

Cell and atoms, written as POSCAR:
```
La2TbTh3Se6
1.0
4.216 0.000 0.000
0.000 8.454 0.186
-2.108 -2.556 8.899
La Se Th Tb
2 6 3 1
direct
0.835 0.667 0.669 La
0.165 0.333 0.331 La
0.997 0.240 0.994 Se
0.662 0.078 0.324 Se
0.338 0.922 0.676 Se
0.667 0.586 0.333 Se
0.333 0.414 0.667 Se
0.003 0.760 0.006 Se
0.169 0.834 0.338 Th
0.831 0.166 0.662 Th
0.500 0.500 0.000 Th
0.500 0.000 0.000 Tb
```

Calculated values
Space-group type = C2/m, No. 12
E = -6.520 eV per atom
Energy relative to the elements, uncorrected = -1.72 eV per atom


[2]
## La4Tb3ThSe8 (PBE)

Data for La4Tb3ThSe8 after structural relaxation.

Cell and atoms, written as POSCAR:
```
La4Tb3ThSe8
1.0
8.421 0.000 0.000
0.000 8.456 0.019
-4.210 -4.207 5.958
Se La Th Tb
8 4 1 3
direct
0.752 0.264 0.504 Se
0.744 0.733 0.488 Se
0.740 0.736 0.988 Se
0.248 0.736 0.988 Se
0.752 0.264 0.012 Se
0.256 0.267 0.512 Se
0.260 0.264 0.012 Se
0.248 0.736 0.496 Se
0.500 0.000 0.500 La
0.000 0.000 0.500 La
0.500 0.000 0.000 La
0.000 0.000 0.000 La
0.000 0.500 0.000 Th
0.500 0.500 0.000 Tb
0.500 0.500 0.500 Tb
0.000 0.500 0.500 Tb
```

Calculated values
Space-group type = R-3m, No. 166
E = -6.162 eV per atom
Energy relative to the elements, uncorrected = -1.86 eV per atom